Entry 1:
VASP calculation (GGA-PBE) on a relaxed V2AsC crystal.

crystal system = trigonal
mass density = 6.56 g/cm³
E = -8.5089 eV/atom
relative energy among the computed polymorphs = 0.055 eV per atom

```
data_V2AsC
_chemical_formula_sum 'V2 As1 C1'
_cell_length_a 6.080
_cell_length_b 6.080
_cell_length_c 6.080
_cell_angle_alpha 29.36
_cell_angle_beta 29.36
_cell_angle_gamma 29.36
_symmetry_space_group_name_H-M 'P 1'
_symmetry_Int_Tables_number 1
_symmetry_space_group_name_Hall 'P 1'
loop_
_atom_site_label
_atom_site_fract_x
_atom_site_fract_y
_atom_site_fract_z
_atom_site_occupancy
V1 0.000 0.000 0.000 1
V2 0.211 0.211 0.211 1
As1 0.772 0.772 0.772 1
C1 0.604 0.604 0.604 1
```


Entry 2:
VASP calculation (GGA-PBE) on a relaxed Ba2TcGe crystal.

crystal system = tetragonal
mass density = 4.45 g/cm³
E = -4.4825 eV/atom

```
data_Ba2TcGe
_chemical_formula_sum 'Ba4 Tc2 Ge2'
_cell_length_a 8.612
_cell_length_b 8.612
_cell_length_c 8.612
_cell_angle_alpha 94.58
_cell_angle_beta 94.58
_cell_angle_gamma 147.17
_symmetry_space_group_name_H-M 'P 1'
_symmetry_Int_Tables_number 1
_symmetry_space_group_name_Hall 'P 1'
loop_
_atom_site_label
_atom_site_fract_x
_atom_site_fract_y
_atom_site_fract_z
_atom_site_occupancy
Ba1 0.375 0.176 0.301 1
Ba2 0.824 0.125 0.199 1
Ba3 0.875 0.074 0.699 1
Ba4 0.926 0.625 0.801 1
Tc1 0.000 0.000 0.000 1
Tc2 0.750 0.250 0.500 1
Ge1 0.250 0.750 0.500 1
Ge2 0.500 0.500 0.000 1
```


How do the records compare in DFT formation energy? In the order shown, they have -0.48; 0.22 eV per atom.